# 1
A geometry-optimized RbCaPuO3 structure. Source: Alexandria via LeMat-Bulk, functional PBE.

Results
Formation energy without anion corrections: -14.2 eV/f.u.
Calculated total energy: -92.70 eV/cell
Calculated volume: 22.87 Å³ per atom

Cell lengths 7.8664, 3.5534, 9.8358 Å; angles 90.00, 93.40, 90.00 degrees
Last column: nearest neighbours and their distance in Å.
Space group P2_1/m (No. 11)
Unique sites:
Rb  0.1234  0.2500  0.1987  4 O 2.85-3.08
Ca  0.1597  0.2500  0.5583  4 O 2.21-2.39
Pu  0.4040  0.7500  0.8638  5 O 2.21-2.36
O  0.1275  0.7500  0.4260  3 Ca 2.21-2.27
O  0.2427  0.2500  0.7962  2 Pu 2.26, 1 Ca 2.39
O  0.4043  0.7500  0.0886  3 Pu 2.21-2.36


# 2
A geometry-optimized Rb3Ca2PuO6 structure. Source: Alexandria via LeMat-Bulk, functional PBE.

Results
Formation energy without anion corrections: -28.3 eV/f.u.
Calculated total energy: -158.65 eV/cell
Calculated volume: 17.56 Å³ per atom

Cell lengths 6.1130, 10.5806, 6.8236 Å; angles 90.00, 107.31, 90.00 degrees
Last column: nearest neighbours and their distance in Å.
Space group C2/m (No. 12)
Unique sites:
Rb  0.0000  0.0000  0.0000  6 O 2.87-3.05
Rb  0.0000  0.3287  0.0000  6 O 2.87-3.03
Ca  0.0000  0.1664  0.5000  6 O 2.43-2.44
Pu  0.0000  0.5000  0.5000  6 O 2.18-2.19
O  0.2105  0.3488  0.6774  1 Pu 2.18, 2 Ca 2.43
O  0.2423  0.5000  0.3203  1 Pu 2.19, 2 Ca 2.44


# 3
A geometry-optimized Ca2PuReO8 structure. Source: Alexandria via LeMat-Bulk, functional PBE.

Results
Formation energy without anion corrections: -29.4 eV/f.u.
Calculated total energy: -199.79 eV/cell
Calculated volume: 14.31 Å³ per atom

Cell lengths 7.0150, 7.3298, 6.6805 Å; angles 90.00, 90.00, 90.00 degrees
Last column: nearest neighbours and their distance in Å.
Space group Cmmm (No. 65)
Unique sites:
Ca  0.0000  0.0000  0.2378  6 O 2.28-2.37
Pu  0.0000  0.5000  0.5000  2 O 1.92
Re  0.0000  0.5000  0.0000  6 O 1.87-1.93
O  0.0000  0.3230  0.2146  1 Re 1.93
O  0.2261  0.0000  0.5000  1 Pu 1.92
O  0.2341  0.0000  0.0000  1 Re 1.87


# 4
A geometry-optimized Ca2PuRuO5 structure. Source: Alexandria via LeMat-Bulk, functional PBE.

Results
Formation energy without anion corrections: -19.1 eV/f.u.
Calculated total energy: -143.02 eV/cell
Calculated volume: 13.10 Å³ per atom

Cell lengths 6.3067, 6.3067, 5.9268 Å; angles 90.00, 90.00, 90.00 degrees
Last column: nearest neighbours and their distance in Å.
Space group P4/mbm (No. 127)
Unique sites:
Ca  0.1699  0.3301  0.0000  4 O 2.24-2.34
Pu  0.0000  0.0000  0.5000  10 O 2.72-2.96
Ru  0.0000  0.5000  0.5000  4 O 1.94
O  0.0000  0.0000  0.0000  4 Ca 2.34
O  0.1578  0.6578  0.2758  1 Ru 1.94


# 5
A geometry-optimized CaPuRuO6 structure. Source: Alexandria via LeMat-Bulk, functional PBE.

Results
Formation energy without anion corrections: -19.4 eV/f.u.
Calculated total energy: -149.58 eV/cell
Calculated volume: 14.03 Å³ per atom

Cell lengths 5.3057, 5.3057, 10.3625 Å; angles 90.00, 90.00, 120.00 degrees
Last column: nearest neighbours and their distance in Å.
Space group P-31c (No. 163)
Unique sites:
Ca  0.0000  0.0000  0.0000  6 O 2.39
Pu  0.3333  0.6667  0.2500  6 O 2.08
Ru  0.3333  0.6667  0.7500  6 O 2.01
O  0.0099  0.3599  0.6420  1 Ru 2.01, 1 Pu 2.08


# 6
A geometry-optimized CaPuS2O8 structure. Source: Alexandria via LeMat-Bulk, functional PBE.

Results
Formation energy without anion corrections: -23.1 eV/f.u.
Calculated total energy: -87.31 eV/cell
Calculated volume: 15.29 Å³ per atom

Cell lengths 5.2913, 5.2913, 7.5670 Å; angles 90.00, 90.00, 120.00 degrees
Last column: nearest neighbours and their distance in Å.
Space group P-3m1 (No. 164)
Unique sites:
Ca  0.0000  0.0000  0.0000  6 O 2.52
Pu  0.0000  0.0000  0.5000  6 O 2.49
S  0.3333  0.6667  0.8139  4 O 1.47-1.50
O  0.1794  0.3588  0.7470  1 S 1.50
O  0.3333  0.6667  0.0079  1 S 1.47


# 7
A geometry-optimized CaPuSbO6 structure. Source: Alexandria via LeMat-Bulk, functional PBE.

Results
Formation energy without anion corrections: -20.7 eV/f.u.
Calculated total energy: -141.72 eV/cell
Calculated volume: 14.74 Å³ per atom

Cell lengths 5.5403, 5.5403, 9.9840 Å; angles 90.00, 90.00, 120.00 degrees
Last column: nearest neighbours and their distance in Å.
Space group P-31c (No. 163)
Unique sites:
Ca  0.0000  0.0000  0.0000  6 O 2.44
Pu  0.3333  0.6667  0.2500  6 O 2.16
Sb  0.3333  0.6667  0.7500  6 O 2.03
O  0.0172  0.3687  0.6396  1 Sb 2.03, 1 Pu 2.16


# 8
A geometry-optimized CaPuScO6 structure. Source: Alexandria via LeMat-Bulk, functional PBE.

Results
Formation energy without anion corrections: -25.7 eV/f.u.
Calculated total energy: -156.20 eV/cell
Calculated volume: 14.43 Å³ per atom

Cell lengths 5.5172, 5.5172, 9.8530 Å; angles 90.00, 90.00, 120.00 degrees
Last column: nearest neighbours and their distance in Å.
Space group P-31c (No. 163)
Unique sites:
Ca  0.0000  0.0000  0.0000  6 O 2.43
Pu  0.3333  0.6667  0.2500  6 O 2.01
Sc  0.3333  0.6667  0.7500  6 O 2.12
O  0.0151  0.3688  0.1408  1 Pu 2.01, 1 Sc 2.12


# 9
A geometry-optimized CaPuSe2O8 structure. Source: Alexandria via LeMat-Bulk, functional PBE.

Results
Formation energy without anion corrections: -18.7 eV/f.u.
Calculated total energy: -81.68 eV/cell
Calculated volume: 18.09 Å³ per atom

Cell lengths 6.2307, 6.2307, 6.4568 Å; angles 90.00, 90.00, 120.00 degrees
Last column: nearest neighbours and their distance in Å.
Space group P-3 (No. 147)
Unique sites:
Ca  0.0000  0.0000  0.0000  6 O 2.47
Pu  0.0000  0.0000  0.5000  6 O 2.08
Se  0.3333  0.6667  0.7364  1 O 1.64
O  0.1452  0.2949  0.7067  1 Se 2.02, 1 Pu 2.08
O  0.3333  0.6667  0.9897  1 Se 1.64


# 10
A geometry-optimized CaPuSiO6 structure. Source: Alexandria via LeMat-Bulk, functional PBE.

Results
Formation energy without anion corrections: -23.6 eV/f.u.
Calculated total energy: -150.30 eV/cell
Calculated volume: 12.94 Å³ per atom

Cell lengths 5.1810, 5.1810, 10.0214 Å; angles 90.00, 90.00, 120.00 degrees
Last column: nearest neighbours and their distance in Å.
Space group P-31c (No. 163)
Unique sites:
Ca  0.0000  0.0000  0.0000  6 O 2.41
Pu  0.3333  0.6667  0.2500  6 O 2.08
Si  0.3333  0.6667  0.7500  6 O 1.82
O  0.0383  0.3846  0.6470  1 Si 1.82


# 11
A geometry-optimized CaPuSi2O8 structure. Source: Alexandria via LeMat-Bulk, functional PBE.

Results
Formation energy without anion corrections: -31.3 eV/f.u.
Calculated total energy: -196.29 eV/cell
Calculated volume: 12.42 Å³ per atom

Cell lengths 6.9476, 6.9476, 6.1777 Å; angles 90.00, 90.00, 90.00 degrees
Last column: nearest neighbours and their distance in Å.
Space group I-4m2 (No. 119)
Unique sites:
Ca  0.0000  0.0000  0.0000  8 O 2.30-2.47
Pu  0.0000  0.5000  0.7500  8 O 2.23-2.33
Si  0.0000  0.0000  0.5000  4 O 1.65
Si  0.0000  0.5000  0.2500  4 O 1.64
O  0.0000  0.1890  0.6623  1 Si 1.65
O  0.0000  0.3254  0.0715  1 Si 1.64


# 12
A geometry-optimized CaSm2PuO6 structure. Source: Alexandria via LeMat-Bulk, functional PBE.

Results
Formation energy without anion corrections: -31.9 eV/f.u.
Calculated total energy: -262.12 eV/cell
Calculated volume: 15.70 Å³ per atom

Cell lengths 5.9486, 5.9486, 15.3691 Å; angles 90.00, 90.00, 120.00 degrees
Last column: nearest neighbours and their distance in Å.
Space group R3 (No. 146, hexagonal axes)
Unique sites:
Ca  0.0000  0.0000  0.0000  6 O 2.35-2.45
Sm  0.0000  0.0000  0.2771  6 O 2.31-2.47
Sm  0.0000  0.0000  0.7817  6 O 2.31-2.44
Pu  0.0000  0.0000  0.4927  6 O 2.24-2.25
O  0.0426  0.3586  0.5572  1 Pu 2.25, 2 Sm 2.31-2.44, 1 Ca 2.45
O  0.0534  0.6680  0.0621  1 Pu 2.24, 2 Sm 2.31-2.47, 1 Ca 2.35


# 13
A geometry-optimized CaSm2PuO8 structure. Source: Alexandria via LeMat-Bulk, functional PBE.

Results
Formation energy without anion corrections: -33.0 eV/f.u.
Calculated total energy: -98.43 eV/cell
Calculated volume: 13.84 Å³ per atom

Cell lengths 4.1027, 7.5645, 5.3832 Å; angles 90.00, 96.40, 90.00 degrees
Last column: nearest neighbours and their distance in Å.
Space group P2/m (No. 10)
Unique sites:
Ca  0.0000  0.0000  0.0000  6 O 2.31-2.56
Sm  0.5000  0.2475  0.5000  8 O 2.29-2.54
Pu  0.0000  0.5000  0.0000  6 O 2.02-2.05
O  0.0457  0.2916  0.7640  1 Pu 2.05
O  0.4332  0.5000  0.2194  1 Pu 2.02
O  0.4922  0.0000  0.2556  2 Sm 2.29, 1 Ca 2.31


# 14
A geometry-optimized CaPuSnO6 structure. Source: Alexandria via LeMat-Bulk, functional PBE.

Results
Formation energy without anion corrections: -20.7 eV/f.u.
Calculated total energy: -141.57 eV/cell
Calculated volume: 14.75 Å³ per atom

Cell lengths 5.5114, 5.5114, 10.0913 Å; angles 90.00, 90.00, 120.00 degrees
Last column: nearest neighbours and their distance in Å.
Space group P-31c (No. 163)
Unique sites:
Ca  0.0000  0.0000  0.0000  6 O 2.42
Pu  0.3333  0.6667  0.2500  6 O 2.09
Sn  0.3333  0.6667  0.7500  6 O 2.11
O  0.0031  0.3590  0.1391  1 Pu 2.09, 1 Sn 2.11


# 15
A geometry-optimized Sr2Ca2PuO6 structure. Source: Alexandria via LeMat-Bulk, functional PBE.

Results
Formation energy without anion corrections: -31.1 eV/f.u.
Calculated total energy: -165.04 eV/cell
Calculated volume: 16.82 Å³ per atom

Cell lengths 6.3566, 10.4165, 5.9656 Å; angles 90.00, 110.52, 90.00 degrees
Last column: nearest neighbours and their distance in Å.
Space group C2/m (No. 12)
Unique sites:
Sr  0.0000  0.1568  0.0000  6 O 2.42-2.66
Ca  0.0000  0.3271  0.5000  6 O 2.42-2.57
Pu  0.0000  0.5000  0.0000  6 O 2.16-2.34
O  0.1934  0.5000  0.7668  1 Pu 2.16
O  0.2128  0.3336  0.2344  1 Pu 2.34, 2 Ca 2.42-2.57, 1 Sr 2.42


# 16
A geometry-optimized SrCa2PuO6 structure. Source: Alexandria via LeMat-Bulk, functional PBE.

Results
Formation energy without anion corrections: -28.6 eV/f.u.
Calculated total energy: -235.20 eV/cell
Calculated volume: 15.70 Å³ per atom

Cell lengths 5.9216, 5.9216, 15.5121 Å; angles 90.00, 90.00, 120.00 degrees
Last column: nearest neighbours and their distance in Å.
Space group R3 (No. 146, hexagonal axes)
Unique sites:
Sr  0.0000  0.0000  0.0000  6 O 2.43-2.62
Ca  0.0000  0.0000  0.2731  6 O 2.35-2.52
Ca  0.0000  0.0000  0.7851  6 O 2.31-2.47
Pu  0.0000  0.0000  0.4841  6 O 2.08-2.10
O  0.0067  0.7330  0.3987  1 Pu 2.08, 1 Ca 2.31
O  0.0107  0.3756  0.2183  1 Pu 2.10, 1 Ca 2.35


# 17
A geometry-optimized Sr2CaPuO6 structure. Source: Alexandria via LeMat-Bulk, functional PBE.

Results
Formation energy without anion corrections: -29.0 eV/f.u.
Calculated total energy: -156.93 eV/cell
Calculated volume: 15.39 Å³ per atom

Cell lengths 5.9452, 6.1075, 10.3501 Å; angles 90.00, 124.99, 90.00 degrees
Last column: nearest neighbours and their distance in Å.
Space group P2_1/c (No. 14)
Unique sites:
Sr  0.2353  0.0476  0.2476  5 O 2.51-2.78
Ca  0.0000  0.0000  0.5000  6 O 2.34-2.36
Pu  0.5000  0.0000  0.0000  6 O 2.06-2.09
O  0.1725  0.1885  0.9528  1 Pu 2.06
O  0.2531  0.7215  0.9401  1 Pu 2.09
O  0.3672  0.0414  0.7665  1 Pu 2.08


# 18
A geometry-optimized CaPuTaO6 structure. Source: Alexandria via LeMat-Bulk, functional PBE.

Results
Formation energy without anion corrections: -26.0 eV/f.u.
Calculated total energy: -167.87 eV/cell
Calculated volume: 14.60 Å³ per atom

Cell lengths 5.5542, 5.5542, 9.8381 Å; angles 90.00, 90.00, 120.00 degrees
Last column: nearest neighbours and their distance in Å.
Space group P-31c (No. 163)
Unique sites:
Ca  0.0000  0.0000  0.0000  6 O 2.45
Pu  0.3333  0.6667  0.2500  6 O 2.14
Ta  0.3333  0.6667  0.7500  6 O 2.01
O  0.0175  0.3724  0.6404  1 Ta 2.01, 1 Pu 2.14